An optimized crystal structure of ZnBRu2. Source: Alexandria via LeMat-Bulk, functional PBE.

Calculated values
As for the space group: No. 123. Its formation enthalpy at 0 K is -0.02 kcal/mol of atoms. Its distance to the lowest polymorph of the same formula is 182 meV/atom. The value obtained for the magnetization is 0.000 μB/atom.

Lattice parameters (Å, degrees): 2.7474 2.7474 6.3487 90.00 90.00 90.00
Positions (direct):
Ru  0.0000  0.0000  0.8021
Ru  0.0000  0.0000  0.1979
Zn  0.5000  0.5000  0.5000
B  0.5000  0.5000  0.0000



An optimized crystal structure of DyTm2ThSc. Source: Alexandria via LeMat-Bulk, functional PBE.

Calculated values
As for the space group: No. 11. Its formation enthalpy at 0 K is 0.85 kcal/mol of atoms. The value obtained for the magnetization is 0.000 μB/atom.

Lattice parameters (Å, degrees): 5.6007 9.2954 6.0981 108.97 90.00 90.00
Positions (direct):
Dy  0.2500  0.6931  0.2647
Dy  0.7500  0.3069  0.7353
Tm  0.7500  0.8973  0.5368
Tm  0.7500  0.6960  0.9222
Tm  0.2500  0.1027  0.4632
Tm  0.2500  0.3040  0.0778
Th  0.2500  0.9004  0.8706
Th  0.7500  0.0996  0.1294
Sc  0.2500  0.5055  0.6658
Sc  0.7500  0.4945  0.3342



An optimized crystal structure of MgMn2BeCl. Source: Alexandria via LeMat-Bulk, functional PBE.

Calculated values
As for the space group: No. 123. The value obtained for the raw formation energy is 2.204 eV/f.u. The value obtained for the magnetization is 1.658 μB/atom.

Lattice parameters (Å, degrees): 4.3759 4.9940 4.3759 90.00 90.00 90.00
Each line ends with the local moment (μB).
Positions (direct):
Be  0.0000  0.0000  0.0000  -0.14
Mg  0.0000  0.5000  0.0000  -0.01
Mn  0.0000  0.0000  0.5000  4.02
Mn  0.5000  0.0000  0.0000  3.61
Cl  0.5000  0.5000  0.5000  0.14